Entry 1:
A plane-wave DFT calculation with GGA-PBE was carried out for an optimized crystal structure of Zn2CO.

Unit cell a=4.8669 b=4.8669 c=5.4749 alpha=63.61 beta=63.61 gamma=90.00
Fractional positions:
Zn (0.6282, 0.1250, 0.2500)
Zn (0.1218, 0.6250, 0.2500)
Zn (0.3750, 0.3718, 0.7500)
Zn (0.8750, 0.8782, 0.7500)
C (0.5000, 0.5000, 0.0000)
C (0.2500, 0.7500, 0.5000)
O (0.0000, 0.0000, 0.0000)
O (0.7500, 0.2500, 0.5000)

Properties
The value obtained for the volume is 100.9 Å³ per cell. As for the spin magnetization: 0.00 μB/cell. The space-group type is I-42d (122). The energy above the most stable polymorph in this dataset is 0.0 meV/atom. Its uncorrected formation energy is 198 meV/atom. As for the crystal system: tetragonal.

=====

Entry 2:
A plane-wave DFT calculation with GGA-PBE was carried out for an optimized crystal structure of SrSmPd2.

Unit cell a=4.1424 b=4.1424 c=7.8424 alpha=74.69 beta=74.69 gamma=60.00
Fractional positions:
Sr (0.4968, 0.4968, 0.5095)
Sm (0.6685, 0.6685, 0.9945)
Pd (0.0762, 0.0762, 0.7715)
Pd (0.2585, 0.2585, 0.2245)

Properties
The value obtained for the volume is 111.0 Å³ per cell. As for the spin magnetization: 0.00 μB/cell. The space-group type is R3m (160). The energy above the most stable polymorph in this dataset is 170.3 meV/atom. As for the crystal system: trigonal. For the formation energy, the calculation gives -549 meV per atom.

=====

Entry 3:
A plane-wave DFT calculation with GGA-PBE was carried out for an optimized crystal structure of Nd2AsS.

Unit cell a=4.1782 b=4.1782 c=5.9070 alpha=90.00 beta=90.00 gamma=90.00
Fractional positions:
Nd (0.0000, 0.0000, 0.5000)
Nd (0.5000, 0.5000, 0.0000)
As (0.0000, 0.0000, 0.0000)
S (0.5000, 0.5000, 0.5000)

Properties
The value obtained for the volume is 103.1 Å³ per cell. As for the spin magnetization: 0.00 μB/cell. The space-group type is P4/mmm (123). The energy above the most stable polymorph in this dataset is 1.1 meV/atom. Its uncorrected formation energy is -1797 meV/atom. As for the crystal system: tetragonal.

=====

Entry 4:
A plane-wave DFT calculation with GGA-PBE was carried out for an optimized crystal structure of SrOs2Se.

Unit cell a=5.3512 b=5.3512 c=3.0833 alpha=90.00 beta=90.00 gamma=119.59
Fractional positions:
Os (0.0000, 0.0000, 0.0000)
Os (0.5000, 0.5000, 0.0000)
Se (0.5000, 0.0000, 0.5000)
Sr (0.0000, 0.5000, 0.5000)

Properties
The value obtained for the volume is 76.8 Å³ per cell. As for the spin magnetization: 0.00 μB/cell. The space-group type is Cmmm (65). Its uncorrected formation energy is 1056 meV/atom. As for the crystal system: orthorhombic.

=====

Entry 5:
A plane-wave DFT calculation with GGA-PBE was carried out for an optimized crystal structure of Ba2SmPd4Pb3.

Unit cell a=4.8519 b=4.8519 c=11.5801 alpha=90.00 beta=90.00 gamma=90.00
Fractional positions:
Ba (0.5000, 0.0000, 0.2295)
Ba (0.0000, 0.5000, 0.7705)
Sm (0.5000, 0.5000, 0.5000)
Pd (0.5000, 0.5000, 0.0000)
Pd (0.0000, 0.0000, 0.0000)
Pd (0.5000, 0.0000, 0.6410)
Pd (0.0000, 0.5000, 0.3590)
Pb (0.0000, 0.0000, 0.5000)
Pb (0.5000, 0.0000, 0.8825)
Pb (0.0000, 0.5000, 0.1175)

Properties
The value obtained for the volume is 272.6 Å³ per cell. As for the spin magnetization: 0.00 μB/cell. The space-group type is P-4m2 (115). As for the crystal system: tetragonal. For the formation energy, the calculation gives -575 meV per atom.

=====

Entry 6:
A plane-wave DFT calculation with GGA-PBE was carried out for an optimized crystal structure of TaCoW3.

Unit cell a=4.4565 b=4.4565 c=4.4565 alpha=90.00 beta=90.00 gamma=90.00
Fractional positions:
Co (0.0000, 0.0000, 0.0000)
W (0.0000, 0.5000, 0.0000)
W (0.0000, 0.0000, 0.5000)
W (0.5000, 0.0000, 0.0000)
Ta (0.5000, 0.5000, 0.5000)

Properties
The value obtained for the volume is 88.5 Å³ per cell. As for the spin magnetization: 0.00 μB/cell. The space-group type is Pm-3m (221). The energy above the most stable polymorph in this dataset is 0.0 meV/atom. As for the crystal system: cubic. For the formation energy, the calculation gives 1247 meV per atom.